The following is a DFT calculation (PBE-GGA) of OsSI2 after structural relaxation.

Results
The crystal system is tetragonal. Its space group is I-42d. For the uncorrected energy, the calculation gives -3.6021 eV per atom. Its formation energy (no corrections) is 1012 meV/atom. The density of states at the Fermi level is 0.13 states/eV/atom.

abc: 7.147 7.147 6.720
angles: 57.87 57.87 90.00
Positions (direct):
I: 0.671 0.125 0.250
I: 0.079 0.625 0.250
I: 0.375 0.329 0.750
I: 0.875 0.921 0.750
S: 0.500 0.500 0.000
S: 0.250 0.750 0.500
Os: 0.000 0.000 0.000
Os: 0.750 0.250 0.500